Density functional theory data (GGA-PBE) for an optimized crystal structure of CoReSb.

The structure in CIF format:
```
data_CoReSb
_space_group_name_H-M_alt 'P 1'
_space_group_IT_number 1
_space_group_name_Hall 'P 1'
_cell_length_a 4.996
_cell_length_b 4.996
_cell_length_c 4.996
_cell_angle_alpha 142.03
_cell_angle_beta 141.89
_cell_angle_gamma 54.89
loop_
_atom_site_label
_atom_site_type_symbol
_atom_site_fract_x
_atom_site_fract_y
_atom_site_fract_z
Co1 Co 0.997 0.997 0.000
Sb1 Sb 0.663 0.663 0.000
Re1 Re 0.340 0.340 0.000
```

Properties
Calculated volume = 15.7 Å³ per atom
M_tot = 0.7283 μB/atom
Symmetry = No. 44
Raw formation energy = 0.545 eV per atom
Raw total energy = -7.348 eV/atom